Compound: ThMnF
Source: Alexandria via LeMat-Bulk
Functional: PBE with a Hubbard U
Structure: optimized geometry

Magnetic moment in μB per formula unit: 3.59
DFT total energy in eV/atom: -6.6762
Density of states at the Fermi level in states/eV/f.u.: 2.9

Cell lengths 4.5949, 4.5949, 22.4288 Å; angles 90.00, 90.00, 120.00 degrees
Closest atoms and distances in Å follow each position.
Space group R-3m (No. 166, hexagonal axes)
One atom of each set of equivalent atoms:
1 Th 0.0000 0.0000 0.0832 (multiplicity 6)  1 F 2.31
2 Mn 0.0000 0.0000 0.3356 (multiplicity 6)  3 Mn 2.65
3 F 0.0000 0.0000 0.1862 (multiplicity 6)  1 Th 2.31